A relaxed structure of DySiAg. Source: Alexandria via LeMat-Bulk, functional PBE-GGA.

```
data_DySiAg
_chemical_formula_sum 'Dy1 Si1 Ag1'
_cell_length_a 4.3990
_cell_length_b 4.3990
_cell_length_c 3.6663
_cell_angle_alpha 90.00
_cell_angle_beta 90.00
_cell_angle_gamma 120.00
_space_group_name_H-M_alt 'P -6 m 2'
_space_group_IT_number 187
_space_group_name_Hall 'P -6 2'
loop_
_atom_site_label
_atom_site_fract_x
_atom_site_fract_y
_atom_site_fract_z
Dy1 0.0000 0.0000 0.0000
Si1 0.6667 0.3333 0.5000
Ag1 0.3333 0.6667 0.5000
```

Output
As for the size of the total moment: 0.00 μB per cell. As for the formation energy from raw total energies: -1.49 eV per formula unit. As for the density of states at the Fermi level: 1.374 states/eV per cell.


A relaxed structure of PRhSe. Source: Alexandria via LeMat-Bulk, functional PBE-GGA.

```
data_PRhSe
_chemical_formula_sum 'P2 Rh2 Se2'
_cell_length_a 2.9438
_cell_length_b 2.9438
_cell_length_c 11.8606
_cell_angle_alpha 90.00
_cell_angle_beta 90.00
_cell_angle_gamma 90.00
_space_group_name_H-M_alt 'I 4 m m'
_space_group_IT_number 107
_space_group_name_Hall 'I 4 -2'
loop_
_atom_site_label
_atom_site_fract_x
_atom_site_fract_y
_atom_site_fract_z
P1 0.0000 0.0000 0.0000
Rh1 0.0000 0.0000 0.6075
Se1 0.0000 0.0000 0.2726
```

Output
As for the size of the total moment: 0.00 μB per cell. As for the formation energy from raw total energies: -0.05 eV per formula unit. As for the density of states at the Fermi level: 3.423 states/eV per cell.


A relaxed structure of ScGeSeS. Source: Alexandria via LeMat-Bulk, functional PBE-GGA.

```
data_ScGeSeS
_chemical_formula_sum 'Sc2 Ge2 Se2 S2'
_cell_length_a 6.4073
_cell_length_b 3.6967
_cell_length_c 7.1889
_cell_angle_alpha 90.00
_cell_angle_beta 90.30
_cell_angle_gamma 90.00
_space_group_name_H-M_alt 'C 1 m 1'
_space_group_IT_number 8
_space_group_name_Hall 'C -2y'
loop_
_atom_site_label
_atom_site_fract_x
_atom_site_fract_y
_atom_site_fract_z
Sc1 0.0000 0.0000 0.0000
Ge1 0.0043 0.0000 0.5046
Se1 0.3353 0.0000 0.2452
S1 0.1661 0.5000 0.8041
```

Output
As for the size of the total moment: 0.00 μB per cell. As for the formation energy from raw total energies: -3.72 eV per formula unit. As for the density of states at the Fermi level: 3.310 states/eV per cell. The relative energy among the computed polymorphs comes out at 27 meV per atom.


A relaxed structure of Rb2AgH6Au. Source: Alexandria via LeMat-Bulk, functional PBE-GGA.

```
data_Rb2AgH6Au
_chemical_formula_sum 'Rb4 Ag2 H12 Au2'
_cell_length_a 5.9338
_cell_length_b 5.9338
_cell_length_c 9.1162
_cell_angle_alpha 90.00
_cell_angle_beta 90.00
_cell_angle_gamma 90.00
_space_group_name_H-M_alt 'I 4/m m m'
_space_group_IT_number 139
_space_group_name_Hall '-I 4 2'
loop_
_atom_site_label
_atom_site_fract_x
_atom_site_fract_y
_atom_site_fract_z
Rb1 0.0000 0.5000 0.2500
Ag1 0.0000 0.0000 0.0000
H1 0.0000 0.0000 0.1889
H2 0.1993 0.1993 0.5000
Au1 0.0000 0.0000 0.5000
```

Output
As for the size of the total moment: 0.00 μB per cell. As for the density of states at the Fermi level: 0.000 states/eV per cell. As for the total energy: -2.942 eV per atom.


A relaxed structure of TiNb2B. Source: Alexandria via LeMat-Bulk, functional PBE-GGA.

```
data_TiNb2B
_chemical_formula_sum 'Ti4 Nb8 B4'
_cell_length_a 7.2867
_cell_length_b 7.2867
_cell_length_c 4.7348
_cell_angle_alpha 90.00
_cell_angle_beta 90.00
_cell_angle_gamma 90.00
_space_group_name_H-M_alt 'I -4 2 d'
_space_group_IT_number 122
_space_group_name_Hall 'I -4 2bw'
loop_
_atom_site_label
_atom_site_fract_x
_atom_site_fract_y
_atom_site_fract_z
Ti1 0.0000 0.0000 0.0000
Nb1 0.1802 0.2500 0.6250
B1 0.0000 0.0000 0.5000
```

Output
As for the size of the total moment: 0.00 μB per cell. As for the density of states at the Fermi level: 12.232 states/eV per cell. Its formation energy is 0.166 eV/atom.


A relaxed structure of SmMgScAg. Source: Alexandria via LeMat-Bulk, functional PBE-GGA.

```
data_SmMgScAg
_chemical_formula_sum 'Sm4 Mg4 Sc4 Ag4'
_cell_length_a 7.2959
_cell_length_b 7.2959
_cell_length_c 7.2959
_cell_angle_alpha 90.00
_cell_angle_beta 90.00
_cell_angle_gamma 90.00
_space_group_name_H-M_alt 'F -4 3 m'
_space_group_IT_number 216
_space_group_name_Hall 'F -4 2 3'
loop_
_atom_site_label
_atom_site_fract_x
_atom_site_fract_y
_atom_site_fract_z
Sm1 0.0000 0.0000 0.0000
Mg1 0.2500 0.2500 0.7500
Sc1 0.0000 0.0000 0.5000
Ag1 0.2500 0.2500 0.2500
```

Output
As for the size of the total moment: 0.00 μB per cell. As for the density of states at the Fermi level: 19.738 states/eV per cell. The relative energy among the computed polymorphs comes out at 44 meV per atom. Its formation energy is -0.108 eV/atom.


A relaxed structure of Pr2PuPd. Source: Alexandria via LeMat-Bulk, functional PBE-GGA.

```
data_Pr2PuPd
_chemical_formula_sum 'Pr6 Pu3 Pd3'
_cell_length_a 3.6508
_cell_length_b 3.6508
_cell_length_c 32.4236
_cell_angle_alpha 90.00
_cell_angle_beta 90.00
_cell_angle_gamma 120.00
_space_group_name_H-M_alt 'R -3 m'
_space_group_IT_number 166
_space_group_name_Hall '-R 3 2"'
loop_
_atom_site_label
_atom_site_fract_x
_atom_site_fract_y
_atom_site_fract_z
Pr1 0.0000 0.0000 0.1034
Pu1 0.0000 0.0000 0.0000
Pd1 0.0000 0.0000 0.5000
```

Output
As for the size of the total moment: 19.28 μB per cell. As for the density of states at the Fermi level: 36.760 states/eV per cell. The relative energy among the computed polymorphs comes out at 300 meV per atom. Its formation energy is 0.076 eV/atom.


A relaxed structure of UCuSb. Source: Alexandria via LeMat-Bulk, functional PBE-GGA.

```
data_UCuSb
_chemical_formula_sum 'U6 Cu6 Sb6'
_cell_length_a 4.0150
_cell_length_b 4.0150
_cell_length_c 28.6646
_cell_angle_alpha 90.00
_cell_angle_beta 90.00
_cell_angle_gamma 120.00
_space_group_name_H-M_alt 'R -3 m'
_space_group_IT_number 166
_space_group_name_Hall '-R 3 2"'
loop_
_atom_site_label
_atom_site_fract_x
_atom_site_fract_y
_atom_site_fract_z
U1 0.0000 0.0000 0.1436
Cu1 0.0000 0.0000 0.2463
Sb1 0.0000 0.0000 0.3854
```

Output
As for the size of the total moment: 0.04 μB per cell. As for the formation energy from raw total energies: 0.30 eV per formula unit. As for the density of states at the Fermi level: 31.247 states/eV per cell.


A relaxed structure of KInPb2. Source: Alexandria via LeMat-Bulk, functional PBE-GGA.

```
data_KInPb2
_chemical_formula_sum 'K3 In3 Pb6'
_cell_length_a 3.8256
_cell_length_b 3.8256
_cell_length_c 31.7565
_cell_angle_alpha 90.00
_cell_angle_beta 90.00
_cell_angle_gamma 120.00
_space_group_name_H-M_alt 'R -3 m'
_space_group_IT_number 166
_space_group_name_Hall '-R 3 2"'
loop_
_atom_site_label
_atom_site_fract_x
_atom_site_fract_y
_atom_site_fract_z
K1 0.0000 0.0000 0.0000
In1 0.0000 0.0000 0.5000
Pb1 0.0000 0.0000 0.2390
```

Output
As for the size of the total moment: 0.00 μB per cell. As for the density of states at the Fermi level: 9.102 states/eV per cell. Its formation energy is -0.010 eV/atom.


A relaxed structure of YLuSnAu. Source: Alexandria via LeMat-Bulk, functional PBE-GGA.

```
data_YLuSnAu
_chemical_formula_sum 'Y4 Lu4 Sn4 Au4'
_cell_length_a 7.3184
_cell_length_b 7.3184
_cell_length_c 7.3184
_cell_angle_alpha 90.00
_cell_angle_beta 90.00
_cell_angle_gamma 90.00
_space_group_name_H-M_alt 'F -4 3 m'
_space_group_IT_number 216
_space_group_name_Hall 'F -4 2 3'
loop_
_atom_site_label
_atom_site_fract_x
_atom_site_fract_y
_atom_site_fract_z
Y1 0.0000 0.0000 0.0000
Lu1 0.0000 0.0000 0.5000
Sn1 0.2500 0.2500 0.2500
Au1 0.2500 0.2500 0.7500
```

Output
As for the size of the total moment: 1.26 μB per cell. As for the density of states at the Fermi level: 16.077 states/eV per cell. Its formation energy is -0.701 eV/atom.